1.
The following is a PBE calculation of a relaxed NiB2I crystal, from Alexandria.

a = 4.180 Å, b = 4.180 Å, c = 4.180 Å
α = 60.00°, β = 60.00°, γ = 60.00°
Fractional positions:
I  0.500  0.500  0.500
Ni  0.000  0.000  0.000
B  0.250  0.250  0.250
B  0.750  0.750  0.750

Results
**Formation energy without anion corrections**: 1976 meV/atom
**Crystal system**: cubic

---

2.
The following is a PBE calculation of a relaxed NiB2I2 crystal, from Alexandria.

a = 5.821 Å, b = 5.821 Å, c = 6.362 Å
α = 90.00°, β = 90.00°, γ = 90.00°
Fractional positions:
I  0.188  0.688  0.500
I  0.688  0.812  0.500
I  0.812  0.312  0.500
I  0.312  0.188  0.500
Ni  0.000  0.000  0.000
Ni  0.500  0.500  0.000
B  0.247  0.747  0.000
B  0.747  0.753  0.000
B  0.753  0.253  0.000
B  0.253  0.247  0.000

Results
**Formation energy without anion corrections**: 1269 meV/atom
**Crystal system**: tetragonal

---

3.
The following is a PBE calculation of a relaxed NiB3I crystal, from Alexandria.

a = 4.357 Å, b = 4.357 Å, c = 4.357 Å
α = 90.00°, β = 90.00°, γ = 90.00°
Fractional positions:
I  0.000  0.000  0.000
Ni  0.500  0.500  0.500
B  0.000  0.500  0.000
B  0.000  0.000  0.500
B  0.500  0.000  0.000

Results
**Formation energy without anion corrections**: 2900 meV/atom
**Crystal system**: cubic

---

4.
The following is a PBE calculation of a relaxed NiB2I2 crystal, from Alexandria.

a = 5.096 Å, b = 5.096 Å, c = 4.811 Å
α = 58.02°, β = 58.02°, γ = 90.00°
Fractional positions:
I  0.750  0.250  0.500
I  0.250  0.750  0.500
Ni  0.000  0.000  0.000
B  0.363  0.363  0.274
B  0.637  0.637  0.726

Results
**Formation energy without anion corrections**: 1215 meV/atom
**Crystal system**: tetragonal

---

5.
The following is a PBE calculation of a relaxed NiB2I8 crystal, from Alexandria.

a = 9.806 Å, b = 10.954 Å, c = 11.318 Å
α = 68.27°, β = 64.33°, γ = 63.41°
Site moments in Bohr magnetons follow the coordinates.
Fractional positions:
Ni  0.977  0.750  0.250  1.20
Ni  0.023  0.250  0.750  1.20
B  0.858  0.874  0.966  0.00
B  0.302  0.374  0.466  0.00
B  0.698  0.626  0.534  0.00
B  0.142  0.126  0.034  0.00
I  0.437  0.729  0.566  0.03
I  0.113  0.946  0.216  0.07
I  0.726  0.950  0.160  0.09
I  0.187  0.220  0.494  0.08
I  0.274  0.050  0.840  0.09
I  0.901  0.280  0.006  0.08
I  0.813  0.780  0.506  0.08
I  0.164  0.450  0.660  0.09
I  0.099  0.720  0.994  0.08
I  0.732  0.771  0.934  0.03
I  0.726  0.446  0.716  0.07
I  0.274  0.554  0.284  0.07
I  0.268  0.229  0.066  0.03
I  0.836  0.550  0.340  0.09
I  0.563  0.271  0.434  0.03
I  0.887  0.054  0.784  0.07

Results
**Formation energy without anion corrections**: -12 meV/atom
**Crystal system**: monoclinic

---

Q: Which formula does entry 2 have?
A: NiB2I2

---

Q: The lowest formation energy without anion corrections belongs to which entry?
A: NiB2I8